Record 1
Density functional theory data (PBE-GGA) for a relaxed AlPd3Pt6 crystal.

Cell and atoms, written as CIF:
```
data_AlPd3Pt6
_chemical_formula_sum 'Al2 Pd6 Pt12'
_space_group_name_H-M_alt 'P 1'
_space_group_IT_number 1
_space_group_name_Hall 'P 1'
_cell_length_a 3.955
_cell_length_b 8.762
_cell_length_c 8.857
_cell_angle_alpha 90.92
_cell_angle_beta 90.00
_cell_angle_gamma 90.00
loop_
_atom_site_label
_atom_site_type_symbol
_atom_site_fract_x
_atom_site_fract_y
_atom_site_fract_z
Pt1 Pt 0.750 0.347 0.300
Pt2 Pt 0.750 0.551 0.902
Pt3 Pt 0.250 0.449 0.098
Pd1 Pd 0.250 0.346 0.792
Al1 Al 0.250 0.940 0.613
Pd2 Pd 0.750 0.654 0.208
Pt4 Pt 0.750 0.846 0.804
Pt5 Pt 0.250 0.232 0.495
Pt6 Pt 0.250 0.047 0.894
Pt7 Pt 0.750 0.953 0.106
Pd3 Pd 0.250 0.551 0.401
Pd4 Pd 0.250 0.750 0.011
Pt8 Pt 0.250 0.154 0.196
Pt9 Pt 0.250 0.870 0.319
Pt10 Pt 0.750 0.768 0.505
Pt11 Pt 0.750 0.130 0.681
Pd5 Pd 0.750 0.449 0.599
Al2 Al 0.750 0.060 0.387
Pt12 Pt 0.250 0.653 0.700
Pd6 Pd 0.750 0.250 0.989
```

Properties
The space-group type is P2_1/m, No. 11. The value obtained for the size of the total moment is 0.00 μB per cell. The total energy is -5.852 eV per atom. The volume is 15.34 A^3/atom.

Record 2
Density functional theory data (PBE-GGA) for a relaxed Al2Pd6Pt crystal.

Cell and atoms, written as CIF:
```
data_Al2Pd6Pt
_chemical_formula_sum 'Al4 Pd12 Pt2'
_space_group_name_H-M_alt 'P 1'
_space_group_IT_number 1
_space_group_name_Hall 'P 1'
_cell_length_a 5.437
_cell_length_b 5.466
_cell_length_c 10.510
_cell_angle_alpha 117.26
_cell_angle_beta 90.00
_cell_angle_gamma 90.00
loop_
_atom_site_label
_atom_site_type_symbol
_atom_site_fract_x
_atom_site_fract_y
_atom_site_fract_z
Pd1 Pd 0.116 0.686 0.642
Pd2 Pd 0.616 0.814 0.858
Pd3 Pd 0.840 0.212 0.788
Pd4 Pd 0.384 0.186 0.142
Al1 Al 0.731 0.410 0.622
Al2 Al 0.769 0.910 0.122
Pd5 Pd 0.096 0.714 0.930
Al3 Al 0.269 0.590 0.378
Pd6 Pd 0.660 0.712 0.288
Al4 Al 0.231 0.090 0.878
Pd7 Pd 0.596 0.786 0.570
Pd8 Pd 0.340 0.288 0.712
Pt1 Pt 0.500 0.500 0.000
Pd9 Pd 0.904 0.286 0.070
Pd10 Pd 0.884 0.314 0.358
Pd11 Pd 0.160 0.788 0.212
Pt2 Pt 0.000 0.000 0.500
Pd12 Pd 0.404 0.214 0.430
```

Properties
The space-group type is P2_1/c, No. 14. The value obtained for the size of the total moment is 0.00 μB per cell. The total energy is -5.464 eV per atom. The volume is 15.42 A^3/atom.

Record 3
Density functional theory data (PBE-GGA) for a relaxed AlPd2Pt2 crystal.

Cell and atoms, written as CIF:
```
data_AlPd2Pt2
_chemical_formula_sum 'Al2 Pd4 Pt4'
_space_group_name_H-M_alt 'P 1'
_space_group_IT_number 1
_space_group_name_Hall 'P 1'
_cell_length_a 6.403
_cell_length_b 6.403
_cell_length_c 3.969
_cell_angle_alpha 90.00
_cell_angle_beta 90.00
_cell_angle_gamma 90.00
loop_
_atom_site_label
_atom_site_type_symbol
_atom_site_fract_x
_atom_site_fract_y
_atom_site_fract_z
Pt1 Pt 0.655 0.845 0.500
Pd1 Pd 0.146 0.354 0.000
Pt2 Pt 0.345 0.155 0.500
Pt3 Pt 0.155 0.655 0.500
Al1 Al 0.000 0.000 0.000
Pt4 Pt 0.845 0.345 0.500
Al2 Al 0.500 0.500 0.000
Pd2 Pd 0.854 0.646 0.000
Pd3 Pd 0.646 0.146 0.000
Pd4 Pd 0.354 0.854 0.000
```

Properties
The space-group type is P4/mbm, No. 127. The value obtained for the size of the total moment is 0.00 μB per cell. The total energy is -5.427 eV per atom. The volume is 16.27 A^3/atom.

Record 4
Density functional theory data (PBE-GGA) for a relaxed AlPd8Pt6 crystal.

Cell and atoms, written as CIF:
```
data_AlPd8Pt6
_chemical_formula_sum 'Al1 Pd8 Pt6'
_space_group_name_H-M_alt 'P 1'
_space_group_IT_number 1
_space_group_name_Hall 'P 1'
_cell_length_a 6.674
_cell_length_b 6.674
_cell_length_c 7.323
_cell_angle_alpha 62.89
_cell_angle_beta 62.89
_cell_angle_gamma 60.00
loop_
_atom_site_label
_atom_site_type_symbol
_atom_site_fract_x
_atom_site_fract_y
_atom_site_fract_z
Pd1 Pd 0.400 0.219 0.674
Pt1 Pt 0.744 0.931 0.879
Pd2 Pd 0.173 0.173 0.481
Pt2 Pt 0.446 0.744 0.879
Pt3 Pt 0.554 0.256 0.121
Pd3 Pd 0.827 0.827 0.519
Pt4 Pt 0.931 0.446 0.879
Pd4 Pd 0.293 0.600 0.326
Pd5 Pd 0.707 0.400 0.674
Pd6 Pd 0.781 0.293 0.326
Pt5 Pt 0.069 0.554 0.121
Pt6 Pt 0.256 0.069 0.121
Pd7 Pd 0.219 0.707 0.674
Pd8 Pd 0.600 0.781 0.326
Al1 Al 0.000 0.000 0.000
```

Properties
The space-group type is R-3, No. 148. The value obtained for the size of the total moment is 0.00 μB per cell. The total energy is -5.500 eV per atom. The volume is 16.01 A^3/atom.

Record 5
Density functional theory data (PBE-GGA) for a relaxed AlPd2Pt8 crystal.

Cell and atoms, written as CIF:
```
data_AlPd2Pt8
_chemical_formula_sum 'Al1 Pd2 Pt8'
_space_group_name_H-M_alt 'P 1'
_space_group_IT_number 1
_space_group_name_Hall 'P 1'
_cell_length_a 4.760
_cell_length_b 6.830
_cell_length_c 6.830
_cell_angle_alpha 59.78
_cell_angle_beta 76.46
_cell_angle_gamma 76.46
loop_
_atom_site_label
_atom_site_type_symbol
_atom_site_fract_x
_atom_site_fract_y
_atom_site_fract_z
Pt1 Pt 0.059 0.772 0.772
Pt2 Pt 0.354 0.358 0.358
Pt3 Pt 0.805 0.230 0.630
Pt4 Pt 0.195 0.370 0.770
Pd1 Pd 0.510 0.122 0.122
Pt5 Pt 0.195 0.770 0.370
Pt6 Pt 0.646 0.642 0.642
Pt7 Pt 0.805 0.630 0.230
Pd2 Pd 0.490 0.878 0.878
Pt8 Pt 0.941 0.228 0.228
Al1 Al 0.000 0.000 0.000
```

Properties
The space-group type is C2/m, No. 12. The value obtained for the size of the total moment is 0.00 μB per cell. The total energy is -5.656 eV per atom. The volume is 16.79 A^3/atom.

Record 6
Density functional theory data (PBE-GGA) for a relaxed Al3Pd3Pt crystal.

Cell and atoms, written as CIF:
```
data_Al3Pd3Pt
_chemical_formula_sum 'Al6 Pd6 Pt2'
_space_group_name_H-M_alt 'P 1'
_space_group_IT_number 1
_space_group_name_Hall 'P 1'
_cell_length_a 6.258
_cell_length_b 6.258
_cell_length_c 6.827
_cell_angle_alpha 100.89
_cell_angle_beta 100.89
_cell_angle_gamma 114.76
loop_
_atom_site_label
_atom_site_type_symbol
_atom_site_fract_x
_atom_site_fract_y
_atom_site_fract_z
Al1 Al 0.712 0.712 0.046
Al2 Al 0.509 0.130 0.308
Pd1 Pd 0.588 0.588 0.343
Pd2 Pd 0.280 0.720 0.000
Pt1 Pt 0.893 0.893 0.790
Pd3 Pd 0.868 0.132 0.500
Pd4 Pd 0.412 0.412 0.657
Al3 Al 0.288 0.288 0.954
Pd5 Pd 0.720 0.280 0.000
Al4 Al 0.130 0.509 0.308
Al5 Al 0.870 0.491 0.692
Pt2 Pt 0.107 0.107 0.210
Pd6 Pd 0.132 0.868 0.500
Al6 Al 0.491 0.870 0.692
```

Properties
The space-group type is C2/m, No. 12. The value obtained for the size of the total moment is 0.00 μB per cell. The total energy is -5.315 eV per atom. The volume is 16.24 A^3/atom.

Record 7
Density functional theory data (PBE-GGA) for a relaxed Al2Pd2Pt3 crystal.

Cell and atoms, written as CIF:
```
data_Al2Pd2Pt3
_chemical_formula_sum 'Al2 Pd2 Pt3'
_space_group_name_H-M_alt 'P 1'
_space_group_IT_number 1
_space_group_name_Hall 'P 1'
_cell_length_a 3.934
_cell_length_b 4.735
_cell_length_c 6.493
_cell_angle_alpha 102.96
_cell_angle_beta 90.00
_cell_angle_gamma 114.54
loop_
_atom_site_label
_atom_site_type_symbol
_atom_site_fract_x
_atom_site_fract_y
_atom_site_fract_z
Pt1 Pt 0.632 0.265 0.432
Pd1 Pd 0.894 0.787 0.244
Pt2 Pt 0.500 0.000 0.000
Al1 Al 0.190 0.380 0.180
Pt3 Pt 0.368 0.735 0.568
Pd2 Pd 0.106 0.213 0.756
Al2 Al 0.810 0.620 0.820
```

Properties
The space-group type is C2/m, No. 12. The value obtained for the size of the total moment is 0.00 μB per cell. The total energy is -5.822 eV per atom. The volume is 15.23 A^3/atom.

Record 8
Density functional theory data (PBE-GGA) for a relaxed AlPd7Pt3 crystal.

Cell and atoms, written as CIF:
```
data_AlPd7Pt3
_chemical_formula_sum 'Al1 Pd7 Pt3'
_space_group_name_H-M_alt 'P 1'
_space_group_IT_number 1
_space_group_name_Hall 'P 1'
_cell_length_a 6.698
_cell_length_b 5.525
_cell_length_c 5.525
_cell_angle_alpha 120.00
_cell_angle_beta 90.00
_cell_angle_gamma 90.00
loop_
_atom_site_label
_atom_site_type_symbol
_atom_site_fract_x
_atom_site_fract_y
_atom_site_fract_z
Pd1 Pd 0.118 0.167 0.333
Al1 Al 0.447 0.333 0.667
Pt1 Pt 0.780 0.003 0.502
Pd2 Pd 0.118 0.667 0.833
Pd3 Pd 0.454 0.329 0.164
Pd4 Pd 0.118 0.167 0.833
Pd5 Pd 0.454 0.836 0.164
Pt2 Pt 0.780 0.498 0.502
Pt3 Pt 0.780 0.498 0.997
Pd6 Pd 0.454 0.836 0.671
Pd7 Pd 0.113 0.667 0.333
```

Properties
The space-group type is P3m1, No. 156. The value obtained for the size of the total moment is 0.00 μB per cell. The total energy is -5.452 eV per atom. The volume is 16.10 A^3/atom.